{"formula": "YBe3Co3", "functional": "PBE", "state": "optimized geometry", "dft_energy_ev_per_atom": -5.320, "sg": "Pm-3n (223)", "e_form_kj_per_mol_fu": 166, "lattice": [[5.7098, 0.0000, 0.0000], [0.0000, 5.7098, 0.0000], [0.0000, 0.0000, 5.7098]], "species": ["Be", "Co", "Co", "Co", "Be", "Co", "Y", "Be", "Co", "Be", "Be", "Be", "Co", "Y"], "frac_coords": [[0.5000, 0.0000, 0.2500], [0.5000, 0.2500, 0.0000], [0.0000, 0.5000, 0.7500], [0.5000, 0.7500, 0.0000], [0.0000, 0.7500, 0.5000], [0.0000, 0.5000, 0.2500], [0.0000, 0.0000, 0.0000], [0.7500, 0.5000, 0.0000], [0.7500, 0.0000, 0.5000], [0.5000, 0.0000, 0.7500], [0.0000, 0.2500, 0.5000], [0.2500, 0.5000, 0.0000], [0.2500, 0.0000, 0.5000], [0.5000, 0.5000, 0.5000]]}

---

{"formula": "NbReP2", "functional": "PBE", "state": "optimized geometry", "dft_energy_ev_per_atom": -8.224, "sg": "I-42d (122)", "relative_energy_mev_per_atom": 422, "e_form_kj_per_mol_fu": 43, "lattice": [[4.6250, 0.0000, 0.0000], [0.0000, 4.6250, 0.0000], [2.3125, 2.3125, 6.9241]], "species": ["P", "Re", "P", "P", "Nb", "Nb", "P", "Re"], "frac_coords": [[0.0898, 0.6250, 0.2500], [0.7500, 0.2500, 0.5000], [0.8750, 0.9102, 0.7500], [0.6602, 0.1250, 0.2500], [0.2500, 0.7500, 0.5000], [0.5000, 0.5000, 0.0000], [0.3750, 0.3398, 0.7500], [0.0000, 0.0000, 0.0000]]}

---

{"formula": "Sr2AlCu6Pd", "functional": "PBE", "state": "optimized geometry", "dft_energy_ev_per_atom": -3.809, "sg": "P-1 (2)", "e_form_kj_per_mol_fu": -117, "lattice": [[6.4612, 0.0024, 0.0516], [0.0001, 6.5134, 0.0139], [3.2730, 3.2665, 4.5890]], "species": ["Cu", "Cu", "Al", "Pd", "Sr", "Cu", "Cu", "Cu", "Cu", "Sr"], "frac_coords": [[0.6028, 0.1075, 0.0640], [0.3972, 0.8925, 0.9360], [0.0000, 0.0000, 0.0000], [0.5000, 0.5000, 0.0000], [0.9367, 0.3124, 0.3753], [0.6019, 0.8285, 0.5042], [0.3960, 0.3323, 0.7760], [0.6040, 0.6677, 0.2240], [0.3981, 0.1715, 0.4958], [0.0633, 0.6876, 0.6247]]}

---

{"formula": "ScBeCu2", "functional": "PBE", "state": "optimized geometry", "dft_energy_ev_per_atom": -4.620, "sg": "Cm (8)", "e_form_kj_per_mol_fu": -22, "lattice": [[4.2402, 0.0305, 0.0040], [0.0028, 4.2531, 0.0050], [-2.1186, -2.1382, 2.9866]], "species": ["Cu", "Be", "Cu", "Sc"], "frac_coords": [[0.0001, 0.0013, 0.0012], [0.7499, 0.2476, 0.4978], [0.2501, 0.7514, 0.5013], [0.5000, 0.4997, 0.9998]]}

---

{"formula": "GdZr2Pa", "functional": "PBE", "state": "optimized geometry", "dft_energy_ev_per_atom": -9.960, "sg": "P4/mmm (123)", "relative_energy_mev_per_atom": 93, "e_form_kj_per_mol_fu": 81, "lattice": [[4.7305, 0.0000, 0.0000], [0.0000, 4.6463, 0.0000], [0.0000, 0.0000, 4.6463]], "species": ["Gd", "Zr", "Zr", "Pa"], "frac_coords": [[0.5000, 0.5000, 0.5000], [0.0000, 0.5000, 0.0000], [0.0000, 0.0000, 0.5000], [0.5000, 0.0000, 0.0000]]}

---

{"formula": "AlTc2Ir", "functional": "PBE", "state": "optimized geometry", "dft_energy_ev_per_atom": -8.568, "sg": "Imm2 (44)", "e_form_kj_per_mol_fu": -90, "lattice": [[-3.3233, 3.8706, 0.3108], [-3.8650, -0.5285, 3.3023], [5.0656, 0.2319, -0.6393]], "species": ["Tc", "Al", "Ir", "Tc"], "frac_coords": [[0.7391, 0.2391, 0.5000], [0.4988, 0.4988, 0.0000], [0.2660, 0.7660, 0.5000], [0.9961, 0.9961, 0.0000]]}

---

{"formula": "TlRhPb", "functional": "PBE", "state": "optimized geometry", "dft_energy_ev_per_atom": -3.932, "sg": "F-43m (216)", "relative_energy_mev_per_atom": 527, "e_form_kj_per_mol_fu": 157, "lattice": [[0.0000, 3.3992, 3.3992], [3.3992, 0.0000, 3.3992], [3.3992, 3.3992, 0.0000]], "species": ["Tl", "Pb", "Rh"], "frac_coords": [[0.2500, 0.2500, 0.2500], [0.0000, 0.0000, 0.0000], [0.5000, 0.5000, 0.5000]]}

---

{"formula": "InSe", "functional": "PBE", "state": "optimized geometry", "formation_energy_uncorrected_ev_per_atom": -0.521, "dft_energy_ev_per_atom": -3.633, "sg": "P6_3/mmc (194)", "lattice": [[-3.4064, 2.1720, -0.5898], [-0.1618, -4.0793, 0.0435], [-2.8662, 0.3023, 17.6682]], "species": ["Se", "Se", "Se", "Se", "In", "In", "In", "In"], "frac_coords": [[0.3334, 0.6667, 0.0998], [0.6666, 0.3333, 0.9002], [0.3334, 0.6667, 0.4002], [0.6666, 0.3333, 0.5998], [0.3333, 0.6666, 0.6711], [0.6667, 0.3334, 0.3289], [0.6667, 0.3334, 0.1711], [0.3333, 0.6666, 0.8289]]}